! Nb2P3O12 PBE relaxed; values from VASP
! V = 14.5 Å³/atom
! DOS at the Fermi energy = 0.358 states/eV/atom
! energy relative to the elements, uncorrected = -2356 meV/atom
! crystal system = monoclinic
! M_tot = 1.04 μB per formula unit
&SYSTEM
  ibrav = 0, nat = 68, ntyp = 3
/
ATOMIC_SPECIES
O 16.00 O.upf
Nb 92.91 Nb.upf
P 30.97 P.upf
ATOMIC_POSITIONS angstrom
O 0.733 -3.921 8.597
O -9.108 -1.856 7.225
O 0.094 -6.491 4.355
O -1.154 -2.602 4.803
O -2.623 0.808 4.585
O -2.490 -7.562 4.525
O -3.138 -10.444 9.071
O -0.678 -5.318 11.933
O 1.119 -3.609 11.387
O -4.720 -7.376 3.446
O -8.124 -2.091 4.491
O -2.380 -6.223 9.763
O 0.647 -4.237 3.350
O -3.183 -6.656 12.445
O -5.836 -3.814 6.548
O 1.677 -5.598 12.794
O -2.193 -10.532 6.402
O -0.028 -10.576 7.695
O -5.733 0.940 5.961
O -5.961 -2.106 3.258
O -8.287 -4.345 6.152
O -2.249 -8.843 10.757
O -3.271 -2.074 9.131
O -5.144 -1.095 7.287
O -6.493 -5.716 5.059
O -6.879 -6.027 2.269
O -3.512 -0.794 2.898
O -3.130 -2.836 6.321
O 2.527 -5.291 7.504
O -2.631 -6.800 7.335
O 1.130 -3.762 6.105
O 0.200 -7.530 10.398
O -4.607 -7.034 8.853
O -7.438 -4.038 0.862
O 3.347 -7.780 6.430
O -6.891 -5.874 7.550
O -3.568 0.896 7.254
O -2.022 -4.901 5.372
O -5.083 -4.318 1.722
O -3.739 -4.735 8.283
O -3.381 -3.413 3.893
O -5.855 -3.145 9.301
O -1.041 -2.260 10.209
O -2.577 -2.980 1.211
O -0.617 -8.541 6.368
O 2.363 -7.545 9.164
O -6.408 -5.400 10.305
O 0.075 -5.822 7.107
Nb -6.614 -7.064 9.163
Nb -4.507 -2.927 7.801
Nb -3.717 -11.433 7.397
Nb -2.044 1.796 6.259
Nb -1.254 -6.710 5.855
Nb -4.237 -2.562 2.290
Nb -1.524 -7.074 11.366
Nb 0.853 -2.572 4.493
P -2.416 -3.441 5.099
P -5.045 0.446 7.243
P -3.281 -7.879 3.246
P 0.575 -4.582 12.457
P 1.576 -8.218 10.301
P 1.111 -4.698 7.323
P -2.479 -1.757 10.410
P -7.337 -1.419 3.355
P -6.335 -5.054 1.199
P -0.716 -10.083 6.413
P -3.345 -6.195 8.557
P -6.872 -4.938 6.332
CELL_PARAMETERS angstrom
-3.165 4.004 7.277
-7.543 -4.725 -0.681
4.947 -8.916 7.059


! NbPO5 PBE relaxed; values from VASP
! V = 15.2 Å³/atom
! DOS at the Fermi energy = 0.000 states/eV/atom
! energy relative to the elements, uncorrected = -2435 meV/atom
! crystal system = orthorhombic
! M_tot = 0.00 μB per formula unit
&SYSTEM
  ibrav = 0, nat = 28, ntyp = 3
/
ATOMIC_SPECIES
O 16.00 O.upf
P 30.97 P.upf
Nb 92.91 Nb.upf
ATOMIC_POSITIONS angstrom
O 8.105 3.981 2.060
O 3.948 -0.201 2.433
O 4.947 9.919 3.401
O -1.149 1.327 2.077
O 1.862 4.500 1.836
O 5.596 3.532 0.839
O 1.592 0.672 2.232
O 3.875 5.698 0.284
O 0.000 0.000 0.000
O 4.488 7.880 -0.770
O 5.020 4.020 5.550
O 7.033 5.218 3.997
O 5.374 7.459 3.549
O 7.303 9.047 3.602
O 2.877 1.036 4.369
O 3.521 2.259 2.285
O 4.448 4.859 2.917
O 6.018 8.682 1.464
O 0.790 5.737 3.773
O 4.407 1.838 6.604
P 0.581 5.145 2.376
P 2.988 0.919 2.846
P 8.314 4.573 3.457
P 5.907 8.799 2.987
Nb 3.794 3.986 1.333
Nb 6.129 8.990 -0.572
Nb 5.101 5.732 4.501
Nb 2.766 0.728 6.405
CELL_PARAMETERS angstrom
-2.298 2.654 4.155
4.928 -2.223 4.145
6.265 9.288 -2.467


! Nb2PO8 PBE relaxed; values from VASP
! V = 9.6 Å³/atom
! DOS at the Fermi energy = 0.456 states/eV/atom
! energy relative to the elements, uncorrected = -2049 meV/atom
! crystal system = monoclinic
! M_tot = 0.22 μB per formula unit
&SYSTEM
  ibrav = 0, nat = 11, ntyp = 3
/
ATOMIC_SPECIES
P 30.97 P.upf
O 16.00 O.upf
Nb 92.91 Nb.upf
ATOMIC_POSITIONS angstrom
P 0.000 0.000 0.000
O -1.479 0.140 -2.643
O -1.876 -2.733 -2.381
O 0.508 -5.197 -1.560
O 3.076 -5.712 -2.832
O 0.372 -2.979 -3.858
O 1.090 -0.376 -3.915
O 3.473 -2.839 -3.094
O 1.225 -2.593 -1.617
Nb -0.283 -1.436 -2.754
Nb 1.880 -4.137 -2.721
CELL_PARAMETERS angstrom
-2.579 1.252 -3.062
4.423 -1.556 -2.415
-0.247 -5.269 0.001


! NbPO5 PBE relaxed; values from VASP
! V = 12.8 Å³/atom
! DOS at the Fermi energy = 0.000 states/eV/atom
! energy relative to the elements, uncorrected = -2412 meV/atom
! crystal system = tetragonal
! M_tot = 0.00 μB per formula unit
&SYSTEM
  ibrav = 0, nat = 14, ntyp = 3
/
ATOMIC_SPECIES
O 16.00 O.upf
Nb 92.91 Nb.upf
P 30.97 P.upf
ATOMIC_POSITIONS angstrom
O -2.734 -1.714 -0.360
O -4.570 1.370 -4.749
O -4.686 2.451 -2.143
O -2.126 0.075 -2.605
O -7.977 3.782 -0.912
O -3.609 3.027 2.623
O -6.005 1.950 -0.064
O -4.706 0.119 -1.208
O -4.101 0.157 2.263
O -3.493 1.946 0.018
Nb -3.862 -1.522 -2.019
Nb -2.365 1.754 1.677
P -1.505 -1.384 0.507
P -4.723 1.616 -0.849
CELL_PARAMETERS angstrom
-3.387 4.745 2.901
-3.049 1.256 -5.615
-3.009 -2.768 1.015


! NbP3O9 PBE relaxed; values from VASP
! V = 14.3 Å³/atom
! DOS at the Fermi energy = 0.592 states/eV/atom
! energy relative to the elements, uncorrected = -2082 meV/atom
! crystal system = monoclinic
! M_tot = 2.00 μB per formula unit
&SYSTEM
  ibrav = 0, nat = 26, ntyp = 3
/
ATOMIC_SPECIES
P 30.97 P.upf
O 16.00 O.upf
Nb 92.91 Nb.upf
ATOMIC_POSITIONS angstrom
P -8.383 -0.999 -1.217
P -11.292 2.852 -1.397
P -8.746 3.923 -0.130
P -5.847 2.634 -3.893
P -11.317 0.417 2.741
P -5.968 0.239 0.151
O -12.052 4.132 -1.202
O -7.038 1.723 -3.852
O -7.379 3.370 -0.392
O -5.230 -1.065 0.195
O -10.300 1.481 2.457
O -5.232 1.419 -0.406
O -9.728 3.109 -1.098
O -9.249 3.927 1.284
O -7.870 -2.436 -0.730
O -7.316 0.063 -0.693
O -12.139 -0.602 -2.728
O -6.624 0.580 1.563
O -8.282 -1.025 -2.711
O -11.756 1.638 -0.647
O -8.749 5.431 -0.648
O -5.254 3.717 1.612
O -4.556 1.768 -4.220
O -9.708 -0.653 -0.603
Nb -11.847 -0.526 -0.580
Nb -9.342 3.203 3.298
CELL_PARAMETERS angstrom
-4.635 1.929 -4.511
-6.573 -4.084 -0.042
-6.022 5.230 3.375


! NbP2O8 PBE relaxed; values from VASP
! V = 15.7 Å³/atom
! DOS at the Fermi energy = 0.524 states/eV/atom
! energy relative to the elements, uncorrected = -1891 meV/atom
! crystal system = monoclinic
! M_tot = 1.05 μB per formula unit
&SYSTEM
  ibrav = 0, nat = 11, ntyp = 3
/
ATOMIC_SPECIES
O 16.00 O.upf
P 30.97 P.upf
Nb 92.91 Nb.upf
ATOMIC_POSITIONS angstrom
O 1.860 6.357 2.653
O 2.927 7.130 6.098
O 4.456 4.606 1.156
O 4.456 1.856 4.371
O 1.860 3.607 5.869
O 3.389 1.083 0.926
O 4.445 5.619 4.806
O 1.870 2.593 2.218
P 1.908 1.454 1.243
P 4.408 6.759 5.781
Nb 0.000 0.000 0.000
CELL_PARAMETERS angstrom
4.881 0.071 0.061
0.717 6.224 0.964
0.717 1.917 5.999


! NbPO3 PBE relaxed; values from VASP
! V = 10.4 Å³/atom
! DOS at the Fermi energy = 0.534 states/eV/atom
! energy relative to the elements, uncorrected = -550 meV/atom
! crystal system = cubic
! M_tot = 2.69 μB per formula unit
&SYSTEM
  ibrav = 0, nat = 5, ntyp = 3
/
ATOMIC_SPECIES
O 16.00 O.upf
Nb 92.91 Nb.upf
P 30.97 P.upf
ATOMIC_POSITIONS angstrom
O -0.895 -1.155 -1.161
O 1.443 0.068 -1.181
O 0.773 -1.464 0.860
Nb 1.321 -2.551 -1.482
P 0.000 0.000 0.000
CELL_PARAMETERS angstrom
-1.790 -2.309 -2.322
2.887 0.137 -2.362
1.546 -2.929 1.720


! Nb5P7O30 PBE relaxed; values from VASP
! V = 14.4 Å³/atom
! DOS at the Fermi energy = 0.000 states/eV/atom
! energy relative to the elements, uncorrected = -2365 meV/atom
! crystal system = monoclinic
! M_tot = 0.00 μB per formula unit
&SYSTEM
  ibrav = 0, nat = 84, ntyp = 3
/
ATOMIC_SPECIES
O 16.00 O.upf
P 30.97 P.upf
Nb 92.91 Nb.upf
ATOMIC_POSITIONS angstrom
O 3.395 1.234 7.018
O -3.272 5.302 14.482
O 3.889 4.772 10.963
O 0.548 3.736 4.310
O 3.812 7.048 14.268
O -0.547 8.206 4.313
O 7.709 3.207 0.791
O -1.041 2.805 8.251
O 3.855 8.119 1.746
O 1.570 4.170 12.388
O -3.811 2.578 14.265
O 5.223 2.951 7.142
O 3.191 1.955 2.018
O -1.568 -0.300 12.384
O 3.651 7.422 7.145
O -1.246 2.083 13.250
O 0.568 2.569 10.158
O 1.631 -0.053 3.287
O 7.243 4.417 3.290
O 1.042 7.274 8.254
O 2.806 8.561 11.986
O 0.582 0.390 13.528
O 2.937 -0.030 9.500
O 1.539 4.655 14.861
O 2.898 3.853 0.412
O 6.006 8.809 2.889
O 0.626 1.460 1.005
O 3.105 1.957 11.102
O -0.786 5.557 8.130
O 5.984 7.899 8.692
O 5.019 3.649 1.742
O -2.807 4.091 11.982
O 1.148 5.293 9.787
O -0.582 4.859 13.530
O 1.547 5.078 6.583
O 2.890 3.430 8.689
O 3.289 3.216 5.487
O 5.977 8.322 0.416
O 5.004 1.469 5.112
O 8.248 5.930 1.008
O 7.541 2.082 4.167
O 0.786 1.087 8.127
O -0.567 7.040 10.160
O -1.499 4.068 5.769
O 2.868 4.338 2.885
O -1.149 0.823 9.782
O -1.540 0.185 14.857
O 3.869 5.939 5.115
O 1.246 6.553 13.254
O -3.104 6.426 11.106
O -1.547 0.609 6.580
O 5.586 7.685 5.490
O 5.936 4.440 9.503
O 3.272 0.832 14.479
O 1.499 8.538 5.773
O 1.332 6.551 4.170
O 1.165 7.676 0.794
O 4.984 0.302 10.959
O 5.684 6.425 2.022
O 5.478 5.703 7.021
P 5.402 4.966 10.862
P 3.461 3.487 1.814
P -0.208 1.796 9.084
P -0.966 3.543 4.411
P 8.616 2.235 0.004
P 0.976 5.021 13.458
P 5.414 7.957 1.818
P -0.976 0.552 13.455
P 4.645 6.712 6.188
P 0.966 8.012 4.414
P 4.229 2.242 6.185
P 0.208 6.266 9.087
P 0.258 6.705 0.008
P 3.471 0.496 10.858
Nb 2.251 0.301 1.451
Nb 2.186 8.207 13.821
Nb 2.150 4.826 4.978
Nb 6.623 4.771 1.455
Nb 6.724 0.357 4.975
Nb 2.218 -0.216 7.633
Nb 2.287 3.682 10.295
Nb -2.287 8.152 10.297
Nb -2.186 3.737 13.817
Nb -2.218 4.254 7.636
CELL_PARAMETERS angstrom
8.874 0.000 0.000
0.000 8.939 0.007
-4.437 -0.431 15.261